1.
{
  "formula": "Ta4Nb3Zn",
  "functional": "GGA-PBE",
  "state": "optimized geometry",
  "lattice_angstrom": [[3.3532, 0.0000, 0.0000], [0.0000, 3.3532, 0.0000], [0.0000, 0.0000, 12.6459]],
  "species": ["Nb", "Nb", "Nb", "Zn", "Ta", "Ta", "Ta", "Ta"],
  "frac_coords": [[0.5000, 0.5000, 0.2410], [0.5000, 0.5000, 0.5000], [0.5000, 0.5000, 0.7590], [0.5000, 0.5000, 0.0000], [0.0000, 0.0000, 0.8835], [0.0000, 0.0000, 0.1165], [0.0000, 0.0000, 0.3692], [0.0000, 0.0000, 0.6308]],
  "crystal_system": "tetragonal",
  "delta_e_f_ev_per_atom": 0.000,
  "magnetic_moment_mub_per_fu": 0.0,
  "spacegroup": "P4/mmm"
}

=====

2.
{
  "formula": "BaCaAlP2",
  "functional": "GGA-PBE",
  "state": "optimized geometry",
  "lattice_angstrom": [[5.3825, 0.0000, 0.0000], [0.0000, 7.3226, 0.1065], [0.0000, -2.0884, 7.4217]],
  "species": ["Ba", "Ba", "Ca", "Ca", "Al", "Al", "P", "P", "P", "P"],
  "frac_coords": [[0.2174, 0.5000, 0.7500], [0.7826, 0.5000, 0.2500], [0.4870, 0.0000, 0.2500], [0.5130, 0.0000, 0.7500], [0.0000, 0.0000, 0.0000], [0.0000, 0.0000, 0.5000], [0.7353, 0.7517, 0.9447], [0.7353, 0.2483, 0.5553], [0.2647, 0.7517, 0.4447], [0.2647, 0.2483, 0.0553]],
  "crystal_system": "monoclinic",
  "delta_e_f_ev_per_atom": -0.677,
  "magnetic_moment_mub_per_fu": 0.0,
  "spacegroup": "P2/c"
}

=====

3.
{
  "formula": "ScTl",
  "functional": "GGA-PBE",
  "state": "optimized geometry",
  "lattice_angstrom": [[-3.2148, 1.0154, 0.5979], [0.5937, -2.7174, -1.9967], [-0.1938, -2.9196, 3.9159]],
  "species": ["Sc", "Tl"],
  "frac_coords": [[0.0000, 0.0000, 0.0000], [0.6667, 0.3333, 0.5000]],
  "crystal_system": "hexagonal",
  "delta_e_f_ev_per_atom": -0.154,
  "magnetic_moment_mub_per_fu": 0.6,
  "spacegroup": "P-6m2"
}

=====

4.
{
  "formula": "NdHo4Tl",
  "functional": "GGA-PBE",
  "state": "optimized geometry",
  "lattice_angstrom": [[3.5983, 0.0000, 0.0000], [0.0000, 3.5983, 0.0000], [0.0000, 0.0000, 14.2210]],
  "species": ["Nd", "Ho", "Ho", "Ho", "Ho", "Tl"],
  "frac_coords": [[0.0000, 0.0000, 0.0000], [0.5000, 0.5000, 0.1792], [0.0000, 0.0000, 0.6480], [0.0000, 0.0000, 0.3520], [0.5000, 0.5000, 0.8208], [0.5000, 0.5000, 0.5000]],
  "crystal_system": "tetragonal",
  "delta_e_f_ev_per_atom": -0.103,
  "de_polymorph_ev_per_atom": 0.0000,
  "magnetic_moment_mub_per_fu": 0.0,
  "spacegroup": "P4/mmm"
}

=====

5.
{
  "formula": "RbSrPS2",
  "functional": "GGA-PBE",
  "state": "optimized geometry",
  "lattice_angstrom": [[5.7270, 0.0000, 0.0000], [0.0000, 5.7270, 0.0000], [0.0000, 0.0000, 6.0241]],
  "species": ["Sr", "S", "S", "Rb", "P"],
  "frac_coords": [[0.0000, 0.0000, 0.0000], [0.0000, 0.5000, 0.0000], [0.5000, 0.0000, 0.0000], [0.5000, 0.5000, 0.5000], [0.0000, 0.0000, 0.5000]],
  "crystal_system": "tetragonal",
  "e_form_raw_kcal_per_mol_atoms": -3.030,
  "de_polymorph_ev_per_atom": 0.0000,
  "magnetic_moment_mub_per_fu": 4.0,
  "spacegroup": "P4/mmm"
}

=====

6.
{
  "formula": "NaCuSbI5",
  "functional": "GGA-PBE",
  "state": "optimized geometry",
  "lattice_angstrom": [[7.6559, 0.3860, -0.7278], [-1.8656, 7.4351, -0.7278], [-3.2189, -4.3479, 12.5950]],
  "species": ["Na", "Na", "Cu", "Cu", "Sb", "Sb", "I", "I", "I", "I", "I", "I", "I", "I", "I", "I"],
  "frac_coords": [[0.0000, 0.0000, 0.5000], [0.0000, 0.0000, 0.0000], [0.6721, 0.3279, 0.2500], [0.3279, 0.6721, 0.7500], [0.3706, 0.6294, 0.2500], [0.6294, 0.3706, 0.7500], [0.1287, 0.8713, 0.2500], [0.8713, 0.1287, 0.7500], [0.0056, 0.3318, 0.2185], [0.9944, 0.6682, 0.7815], [0.6682, 0.9944, 0.2815], [0.3318, 0.0056, 0.7185], [0.7005, 0.5904, 0.4378], [0.2995, 0.4096, 0.5622], [0.4096, 0.2995, 0.0622], [0.5904, 0.7005, 0.9378]],
  "crystal_system": "monoclinic",
  "e_form_raw_kcal_per_mol_atoms": -9.397,
  "magnetic_moment_mub_per_fu": 0.0,
  "spacegroup": "C2/c"
}

=====

7.
{
  "formula": "CaTl3Bi",
  "functional": "GGA-PBE",
  "state": "optimized geometry",
  "lattice_angstrom": [[-2.1539, -1.3740, 5.2761], [-4.7133, -2.3822, -2.5446], [2.7405, -5.1770, -0.2295]],
  "species": ["Tl", "Tl", "Tl", "Ca", "Bi"],
  "frac_coords": [[0.0000, 0.5000, 0.0000], [0.0000, 0.0000, 0.5000], [0.5000, 0.0000, 0.0000], [0.0000, 0.0000, 0.0000], [0.5000, 0.5000, 0.5000]],
  "crystal_system": "cubic",
  "delta_e_f_ev_per_atom": 0.428,
  "de_polymorph_ev_per_atom": 0.1190,
  "magnetic_moment_mub_per_fu": 0.0,
  "spacegroup": "Pm-3m"
}

=====

8.
{
  "formula": "Sr2SmRh9",
  "functional": "GGA-PBE",
  "state": "optimized geometry",
  "lattice_angstrom": [[5.1364, 0.0000, 1.5287], [2.3407, 4.5721, 1.5287], [-0.0105, -0.0064, 9.4290]],
  "species": ["Sr", "Sr", "Sm", "Rh", "Rh", "Rh", "Rh", "Rh", "Rh", "Rh", "Rh", "Rh"],
  "frac_coords": [[0.8591, 0.8591, 0.4228], [0.1409, 0.1409, 0.5772], [0.0000, 0.0000, 0.0000], [0.6678, 0.6678, 0.9967], [0.3322, 0.3322, 0.0033], [0.5000, 0.5000, 0.5000], [0.4230, 0.4230, 0.2381], [0.9160, 0.4230, 0.2381], [0.4230, 0.9160, 0.2381], [0.5770, 0.5770, 0.7619], [0.5770, 0.0840, 0.7619], [0.0840, 0.5770, 0.7619]],
  "crystal_system": "trigonal",
  "delta_e_f_ev_per_atom": -0.284,
  "magnetic_moment_mub_per_fu": 0.0,
  "spacegroup": "R-3m"
}

=====

9.
{
  "formula": "NbZnMo3",
  "functional": "GGA-PBE",
  "state": "optimized geometry",
  "lattice_angstrom": [[-3.3190, -2.7021, -1.5238], [1.9401, -0.0667, -4.1074], [2.4206, -3.6515, 1.2026]],
  "species": ["Zn", "Mo", "Mo", "Mo", "Nb"],
  "frac_coords": [[0.0000, 0.0000, 0.0000], [0.0000, 0.5000, 0.0000], [0.0000, 0.0000, 0.5000], [0.5000, 0.0000, 0.0000], [0.5000, 0.5000, 0.5000]],
  "crystal_system": "cubic",
  "delta_e_f_ev_per_atom": 1.547,
  "de_polymorph_ev_per_atom": 0.0000,
  "magnetic_moment_mub_per_fu": 0.0,
  "spacegroup": "Pm-3m"
}

=====

10.
{
  "formula": "Pr8TeSe4S3",
  "functional": "GGA-PBE",
  "state": "optimized geometry",
  "lattice_angstrom": [[8.4978, 0.0000, 0.0000], [0.0000, 8.4983, -0.0051], [-4.2489, -4.2448, 6.0117]],
  "species": ["Pr", "Pr", "Pr", "Pr", "Pr", "Pr", "Pr", "Pr", "Te", "Se", "Se", "Se", "Se", "S", "S", "S"],
  "frac_coords": [[0.2586, 0.7419, 0.9832], [0.2587, 0.7419, 0.5173], [0.2573, 0.2718, 0.5145], [0.7246, 0.7419, 0.9832], [0.2754, 0.2581, 0.0168], [0.7427, 0.7282, 0.4855], [0.7413, 0.2581, 0.4827], [0.7414, 0.2581, 0.0168], [0.0000, 0.5000, 0.0000], [0.5000, 0.0000, 0.0000], [0.5000, 0.0000, 0.5000], [0.0000, 0.0000, 0.0000], [0.0000, 0.0000, 0.5000], [0.5000, 0.5000, 0.0000], [0.5000, 0.5000, 0.5000], [0.0000, 0.5000, 0.5000]],
  "crystal_system": "trigonal",
  "e_form_raw_kcal_per_mol_atoms": -42.436,
  "magnetic_moment_mub_per_fu": 0.0,
  "spacegroup": "R-3m"
}

=====

11.
{
  "formula": "CsNaCo2Au",
  "functional": "GGA-PBE",
  "state": "optimized geometry",
  "lattice_angstrom": [[-0.3938, 3.8383, 3.1932], [1.1485, -3.3968, 4.2247], [4.8838, 0.9620, -0.5542]],
  "species": ["Cs", "Co", "Co", "Au", "Na"],
  "frac_coords": [[0.5000, 0.5000, 0.5000], [0.0000, 0.0000, 0.5000], [0.5000, 0.0000, 0.0000], [0.0000, 0.0000, 0.0000], [0.0000, 0.5000, 0.0000]],
  "crystal_system": "tetragonal",
  "delta_e_f_ev_per_atom": 0.779,
  "magnetic_moment_mub_per_fu": 3.7,
  "spacegroup": "P4/mmm"
}

=====

12.
{
  "formula": "Y3HgO",
  "functional": "GGA-PBE",
  "state": "optimized geometry",
  "lattice_angstrom": [[5.7825, 0.0000, 0.0000], [0.0000, 13.0920, 0.0000], [0.0000, 0.0000, 6.6823]],
  "species": ["Y", "Y", "Y", "Y", "Y", "Y", "Y", "Y", "Y", "Y", "Y", "Y", "Hg", "Hg", "Hg", "Hg", "O", "O", "O", "O"],
  "frac_coords": [[0.0238, 0.8827, 0.9028], [0.4762, 0.3827, 0.4028], [0.4762, 0.1173, 0.4028], [0.9762, 0.3827, 0.0972], [0.9762, 0.1173, 0.0972], [0.5238, 0.6173, 0.5972], [0.5238, 0.8827, 0.5972], [0.0238, 0.6173, 0.9028], [0.4537, 0.2500, 0.9264], [0.0463, 0.7500, 0.4264], [0.5463, 0.7500, 0.0736], [0.9537, 0.2500, 0.5736], [0.0000, 0.0000, 0.5000], [0.5000, 0.5000, 0.0000], [0.5000, 0.0000, 0.0000], [0.0000, 0.5000, 0.5000], [0.5624, 0.2500, 0.6052], [0.9376, 0.7500, 0.1052], [0.4376, 0.7500, 0.3948], [0.0624, 0.2500, 0.8948]],
  "crystal_system": "orthorhombic",
  "e_form_raw_kcal_per_mol_atoms": -29.391,
  "de_polymorph_ev_per_atom": 0.1269,
  "magnetic_moment_mub_per_fu": 0.0,
  "spacegroup": "Pnma"
}

=====

13.
{
  "formula": "Er7Tm12Pu",
  "functional": "GGA-PBE",
  "state": "optimized geometry",
  "lattice_angstrom": [[1.4357, 9.0135, -4.0746], [4.1148, -6.9904, -5.8404], [-9.8042, -1.7377, 0.8745]],
  "species": ["Er", "Er", "Er", "Er", "Er", "Er", "Er", "Tm", "Tm", "Tm", "Tm", "Tm", "Tm", "Tm", "Tm", "Tm", "Tm", "Tm", "Tm", "Pu"],
  "frac_coords": [[0.5000, 0.5000, 0.0000], [0.0000, 0.5000, 0.5000], [0.5000, 0.0000, 0.5000], [0.5000, 0.5000, 0.5000], [0.0000, 0.0000, 0.5000], [0.5000, 0.0000, 0.0000], [0.0000, 0.5000, 0.0000], [0.4089, 0.6611, 0.7478], [0.9133, 0.6611, 0.2522], [0.5911, 0.3389, 0.2522], [0.0867, 0.3389, 0.7478], [0.7478, 0.0867, 0.3389], [0.7478, 0.4089, 0.6611], [0.2522, 0.9133, 0.6611], [0.2522, 0.5911, 0.3389], [0.6611, 0.7478, 0.4089], [0.3389, 0.2522, 0.5911], [0.6611, 0.2522, 0.9133], [0.3389, 0.7478, 0.0867], [0.0000, 0.0000, 0.0000]],
  "crystal_system": "cubic",
  "delta_e_f_ev_per_atom": 0.855,
  "magnetic_moment_mub_per_fu": 7.1,
  "spacegroup": "Im-3"
}

=====

14.
{
  "formula": "Zr3Au",
  "functional": "GGA-PBE",
  "state": "optimized geometry",
  "lattice_angstrom": [[4.2617, 0.0000, 0.0000], [0.0000, 4.2617, 0.0000], [2.1309, 2.1309, 4.6690]],
  "species": ["Au", "Zr", "Zr", "Zr"],
  "frac_coords": [[0.0000, 0.0000, 0.0000], [0.2500, 0.7500, 0.5000], [0.5000, 0.5000, 0.0000], [0.7500, 0.2500, 0.5000]],
  "crystal_system": "tetragonal",
  "delta_e_f_ev_per_atom": -0.247,
  "magnetic_moment_mub_per_fu": 0.0,
  "spacegroup": "I4/mmm"
}

=====

15.
{
  "formula": "InSn2Pd2",
  "functional": "GGA-PBE",
  "state": "optimized geometry",
  "lattice_angstrom": [[4.7239, 0.0000, 0.0000], [0.0000, 4.6956, -0.0576], [0.0000, 0.1185, 9.5961]],
  "species": ["In", "In", "Sn", "Sn", "Sn", "Sn", "Pd", "Pd", "Pd", "Pd"],
  "frac_coords": [[0.7500, 0.2496, 0.6737], [0.2500, 0.7504, 0.3263], [0.7500, 0.2500, 0.9979], [0.2500, 0.7502, 0.6695], [0.2500, 0.7500, 0.0021], [0.7500, 0.2498, 0.3305], [0.2500, 0.2506, 0.4978], [0.7500, 0.7499, 0.1620], [0.2500, 0.2501, 0.8380], [0.7500, 0.7494, 0.5022]],
  "crystal_system": "orthorhombic",
  "delta_e_f_ev_per_atom": -0.405,
  "magnetic_moment_mub_per_fu": 0.0,
  "spacegroup": "Pmmn"
}

=====

16.
{
  "formula": "Cu2PCl",
  "functional": "GGA-PBE",
  "state": "optimized geometry",
  "lattice_angstrom": [[-0.0981, -2.9725, 1.5190], [-0.0616, -2.7985, -1.8212], [6.3713, -2.0943, -0.0394]],
  "species": ["Cl", "Cu", "Cu", "P"],
  "frac_coords": [[0.7500, 0.7500, 0.7500], [0.9881, 0.9881, 0.0336], [0.5119, 0.5119, 0.4664], [0.2500, 0.2500, 0.2500]],
  "crystal_system": "monoclinic",
  "e_form_raw_kcal_per_mol_atoms": -1.267,
  "de_polymorph_ev_per_atom": 0.0407,
  "magnetic_moment_mub_per_fu": 0.0,
  "spacegroup": "C2/m"
}

=====

17.
{
  "formula": "SbAs2SeN",
  "functional": "GGA-PBE",
  "state": "optimized geometry",
  "lattice_angstrom": [[-3.8291, -2.2801, -0.0323], [2.0413, -3.3993, -2.0348], [1.0469, -1.8159, 4.0839]],
  "species": ["Sb", "As", "As", "Se", "N"],
  "frac_coords": [[0.5000, 0.5000, 0.5000], [0.0000, 0.5000, 0.0000], [0.5000, 0.0000, 0.0000], [0.0000, 0.0000, 0.5000], [0.0000, 0.0000, 0.0000]],
  "crystal_system": "tetragonal",
  "e_form_raw_kcal_per_mol_atoms": 16.833,
  "de_polymorph_ev_per_atom": 0.0000,
  "magnetic_moment_mub_per_fu": 0.0,
  "spacegroup": "P4/mmm"
}

=====

18.
{
  "formula": "Tl2AgSbI6",
  "functional": "GGA-PBE",
  "state": "optimized geometry",
  "lattice_angstrom": [[8.0218, 0.0000, -0.0036], [0.0000, 8.5744, 0.0000], [0.0650, 0.0000, 11.5851]],
  "species": ["Tl", "Tl", "Tl", "Tl", "Ag", "Ag", "Sb", "Sb", "I", "I", "I", "I", "I", "I", "I", "I", "I", "I", "I", "I"],
  "frac_coords": [[0.0360, 0.9035, 0.2528], [0.5360, 0.5965, 0.7528], [0.9640, 0.0965, 0.7472], [0.4640, 0.4035, 0.2472], [0.5000, 0.0000, 0.0000], [0.0000, 0.5000, 0.5000], [0.5000, 0.0000, 0.5000], [0.0000, 0.5000, 0.0000], [0.3119, 0.6926, 0.0518], [0.8119, 0.8074, 0.5518], [0.6881, 0.3074, 0.9482], [0.1881, 0.1926, 0.4482], [0.3135, 0.6944, 0.4511], [0.8135, 0.8056, 0.9511], [0.6865, 0.3056, 0.5489], [0.1865, 0.1944, 0.0489], [0.8912, 0.5171, 0.2529], [0.3912, 0.9829, 0.7529], [0.1088, 0.4829, 0.7471], [0.6088, 0.0171, 0.2471]],
  "crystal_system": "monoclinic",
  "e_form_raw_kcal_per_mol_atoms": -9.920,
  "magnetic_moment_mub_per_fu": 0.0,
  "spacegroup": "P2_1/c"
}

=====

19.
{
  "formula": "Sm3Th2",
  "functional": "GGA-PBE",
  "state": "optimized geometry",
  "lattice_angstrom": [[-0.7661, 0.8089, 3.4322], [2.2384, -1.0251, 2.6382], [7.8653, 12.5881, 0.6857]],
  "species": ["Sm", "Sm", "Sm", "Th", "Th"],
  "frac_coords": [[0.0984, 0.0984, 0.7047], [0.5000, 0.5000, 0.5000], [0.9016, 0.9016, 0.2953], [0.3013, 0.3013, 0.0962], [0.6987, 0.6987, 0.9038]],
  "crystal_system": "trigonal",
  "delta_e_f_ev_per_atom": 0.022,
  "de_polymorph_ev_per_atom": 0.0000,
  "magnetic_moment_mub_per_fu": 0.0,
  "spacegroup": "R-3m"
}

=====

20.
{
  "formula": "Li2TlSnH",
  "functional": "GGA-PBE",
  "state": "optimized geometry",
  "lattice_angstrom": [[-2.5235, 2.4666, -2.4872], [1.7809, -1.7363, -3.5287], [-3.4525, -3.5351, -0.0030]],
  "species": ["H", "Tl", "Sn", "Li", "Li"],
  "frac_coords": [[0.0000, 0.0000, 0.0000], [0.0000, 0.0000, 0.5000], [0.5000, 0.5000, 0.5000], [0.0000, 0.5000, 0.0000], [0.5000, 0.0000, 0.0000]],
  "crystal_system": "tetragonal",
  "de_polymorph_ev_per_atom": 0.0000,
  "magnetic_moment_mub_per_fu": 0.0,
  "spacegroup": "P4/mmm"
}